# GdMgAg (PBE, relaxed)
# Energy: -2.76 eV per atom
# Calculated volume: 79 Å³/f.u.
# Theoretical density: 6.09 Mg/m³
data_GdMgAg
_chemical_formula_sum 'Gd4 Mg4 Ag4'
_cell_length_a 6.8099
_cell_length_b 6.8099
_cell_length_c 6.8099
_cell_angle_alpha 90.00
_cell_angle_beta 90.00
_cell_angle_gamma 90.00
_symmetry_space_group_name_H-M 'F -4 3 m'
_symmetry_Int_Tables_number 216
_symmetry_space_group_name_Hall 'F -4 2 3'
loop_
_atom_site_label
_atom_site_fract_x
_atom_site_fract_y
_atom_site_fract_z
Gd1 0.0000 0.0000 0.0000
Mg1 0.2500 0.2500 0.7500
Ag1 0.0000 0.0000 0.5000